The following is a DFT calculation (GGA-PBEsol) of an optimized crystal structure of NaYCu2Si.

Values from the calculation:
Space-group type = P4/mmm
Crystal system = tetragonal
ΔE_f (raw) = 140 kJ/mol of formula units
Total magnetic moment = 0.01 μB per formula unit

Lattice parameters (Å, degrees): 4.5193 4.5193 5.2788 90.00 90.00 90.00
Last column: nearest neighbours and their distance in Å.
Sites, in units of the cell vectors:
Na  0.0000  0.0000  0.0000  4 Y 3.20, 8 Cu 3.47
Y  0.5000  0.5000  0.0000  2 Si 2.64
Cu  0.0000  0.5000  0.5000  2 Si 2.26
Cu  0.5000  0.0000  0.5000  2 Si 2.26
Si  0.5000  0.5000  0.5000  4 Cu 2.26